PrPaTc2: optimized geometry, PBE-GGA.

Geometry as CIF:
```
data_PrPaTc2
_cell_length_a 3.4242
_cell_length_b 3.4242
_cell_length_c 25.9852
_cell_angle_alpha 90.00
_cell_angle_beta 90.00
_cell_angle_gamma 120.00
_symmetry_space_group_name_H-M 'R -3 m'
_symmetry_Int_Tables_number 166
_symmetry_space_group_name_Hall '-R 3 2"'
loop_
_atom_site_label
_atom_site_type_symbol
_atom_site_fract_x
_atom_site_fract_y
_atom_site_fract_z
Pr1 Pr 0.0000 0.0000 0.0000
Pa1 Pa 0.0000 0.0000 0.5000
Tc1 Tc 0.0000 0.0000 0.2369
```

Energy of formation   0.16 eV per atom
ρ   10.7 Mg/m³

---

PrPaTc: optimized geometry, PBE-GGA.

Geometry as CIF:
```
data_PrPaTc
_cell_length_a 3.527
_cell_length_b 3.527
_cell_length_c 11.660
_cell_angle_alpha 90.00
_cell_angle_beta 90.00
_cell_angle_gamma 90.00
_symmetry_space_group_name_H-M 'I 4 m m'
_symmetry_Int_Tables_number 107
_symmetry_space_group_name_Hall 'I 4 -2'
loop_
_atom_site_label
_atom_site_type_symbol
_atom_site_fract_x
_atom_site_fract_y
_atom_site_fract_z
Pr1 Pr 0.000 0.000 0.000
Pa1 Pa 0.000 0.000 0.702
Tc1 Tc 0.000 0.000 0.302
```

Energy of formation   -0.07 eV per atom
ρ   10.8 Mg/m³

---

PrPaTe2: optimized geometry, PBE-GGA.

Geometry as CIF:
```
data_PrPaTe2
_cell_length_a 4.0452
_cell_length_b 4.0452
_cell_length_c 31.0077
_cell_angle_alpha 90.00
_cell_angle_beta 90.00
_cell_angle_gamma 120.00
_symmetry_space_group_name_H-M 'R -3 m'
_symmetry_Int_Tables_number 166
_symmetry_space_group_name_Hall '-R 3 2"'
loop_
_atom_site_label
_atom_site_type_symbol
_atom_site_fract_x
_atom_site_fract_y
_atom_site_fract_z
Pr1 Pr 0.0000 0.0000 0.0000
Pa1 Pa 0.0000 0.0000 0.5000
Te1 Te 0.0000 0.0000 0.1012
```

ρ   7.1 Mg/m³
Raw formation energy   -210.9 kJ/mol of formula units

---

Pr3PaTe6: optimized geometry, PBE-GGA.

Geometry as CIF:
```
data_Pr3PaTe6
_cell_length_a 12.403
_cell_length_b 15.229
_cell_length_c 7.744
_cell_angle_alpha 90.00
_cell_angle_beta 90.00
_cell_angle_gamma 90.00
_symmetry_space_group_name_H-M 'C m c 21'
_symmetry_Int_Tables_number 36
_symmetry_space_group_name_Hall 'C 2c -2'
loop_
_atom_site_label
_atom_site_type_symbol
_atom_site_fract_x
_atom_site_fract_y
_atom_site_fract_z
Pr1 Pr 0.000 0.094 0.000
Pr2 Pr 0.184 0.399 0.122
Pa1 Pa 0.000 0.339 0.631
Te1 Te 0.000 0.265 0.268
Te2 Te 0.000 0.495 0.885
Te3 Te 0.165 0.038 0.306
Te4 Te 0.167 0.237 0.831
```

ρ   6.4 Mg/m³
Raw formation energy   -1115.4 kJ/mol of formula units

---

PrPaTe2: optimized geometry, PBE-GGA.

Geometry as CIF:
```
data_PrPaTe2
_cell_length_a 7.620
_cell_length_b 7.620
_cell_length_c 7.620
_cell_angle_alpha 90.00
_cell_angle_beta 90.00
_cell_angle_gamma 90.00
_symmetry_space_group_name_H-M 'F m -3 m'
_symmetry_Int_Tables_number 225
_symmetry_space_group_name_Hall '-F 4 2 3'
loop_
_atom_site_label
_atom_site_type_symbol
_atom_site_fract_x
_atom_site_fract_y
_atom_site_fract_z
Pr1 Pr 0.000 0.000 0.000
Pa1 Pa 0.000 0.000 0.500
Te1 Te 0.250 0.250 0.250
```

ρ   9.4 Mg/m³
Raw formation energy   -356.0 kJ/mol of formula units

---

PrPaTe2: optimized geometry, PBE-GGA.

Geometry as CIF:
```
data_PrPaTe2
_cell_length_a 8.552
_cell_length_b 4.038
_cell_length_c 7.111
_cell_angle_alpha 90.00
_cell_angle_beta 90.00
_cell_angle_gamma 90.00
_symmetry_space_group_name_H-M 'P m m a'
_symmetry_Int_Tables_number 51
_symmetry_space_group_name_Hall '-P 2a 2a'
loop_
_atom_site_label
_atom_site_type_symbol
_atom_site_fract_x
_atom_site_fract_y
_atom_site_fract_z
Pr1 Pr 0.000 0.000 0.000
Pa1 Pa 0.000 0.500 0.500
Te1 Te 0.250 0.000 0.342
Te2 Te 0.250 0.500 0.820
```

ρ   8.5 Mg/m³
Raw formation energy   -368.6 kJ/mol of formula units